No. 1
NiMo3N | SCAN | PBEsol geometry

## Properties
Theoretical density (g/cm³): 7.191
E_tot (eV/atom): -23.55

Geometry as CIF:
```
data_NiMo3N
_chemical_formula_sum 'Ni1 Mo3 N1'
_symmetry_space_group_name_H-M 'P m -3 m'
_symmetry_Int_Tables_number 221
_symmetry_space_group_name_Hall '-P 4 2 3'
_cell_length_a 4.366
_cell_length_b 4.366
_cell_length_c 4.366
_cell_angle_alpha 90.00
_cell_angle_beta 90.00
_cell_angle_gamma 90.00
loop_
_atom_site_label
_atom_site_type_symbol
_atom_site_fract_x
_atom_site_fract_y
_atom_site_fract_z
_atom_site_occupancy
Ni1 Ni 0.000 0.000 0.000 1
Mo1 Mo 0.000 0.000 0.500 1
N1 N 0.500 0.500 0.500 1
```

---

No. 2
BaLa2Ag | SCAN | PBEsol geometry

## Properties
Theoretical density (g/cm³): 6.371
ΔE_f (eV per formula unit): -0.3

Geometry as CIF:
```
data_BaLa2Ag
_chemical_formula_sum 'Ba1 La2 Ag1'
_symmetry_space_group_name_H-M 'P 4 m m'
_symmetry_Int_Tables_number 99
_cell_length_a 3.834
_cell_length_b 3.834
_cell_length_c 9.272
_cell_angle_alpha 90.00
_cell_angle_beta 90.00
_cell_angle_gamma 90.00
loop_
_symmetry_equiv_pos_as_xyz
'x,y,z'
'-y,x,z'
'-x,-y,z'
'y,-x,z'
'-x,y,z'
'y,x,z'
'x,-y,z'
'-y,-x,z'
loop_
_atom_site_label
_atom_site_type_symbol
_atom_site_fract_x
_atom_site_fract_y
_atom_site_fract_z
_atom_site_occupancy
Ba1 Ba 0.000 0.000 0.000 1
La1 La 0.000 0.000 0.587 1
La2 La 0.500 0.500 0.336 1
Ag1 Ag 0.500 0.500 0.763 1
```

---

No. 3
Co2TcIr | SCAN | PBEsol geometry

## Properties
Theoretical density (g/cm³): 13.469
ΔE_f (eV per formula unit): 0.8

Geometry as CIF:
```
data_Co2TcIr
_chemical_formula_sum 'Co2 Tc1 Ir1'
_symmetry_space_group_name_H-M 'P 1 2/m 1'
_symmetry_Int_Tables_number 10
_cell_length_a 2.573
_cell_length_b 4.147
_cell_length_c 4.738
_cell_angle_alpha 90.00
_cell_angle_beta 95.56
_cell_angle_gamma 90.00
loop_
_symmetry_equiv_pos_as_xyz
'x,y,z'
'-x,-y,-z'
'-x,y,-z'
'x,-y,z'
loop_
_atom_site_label
_atom_site_type_symbol
_atom_site_fract_x
_atom_site_fract_y
_atom_site_fract_z
_atom_site_occupancy
Co1 Co 0.145 0.000 0.252 1
Tc1 Tc 0.000 0.500 0.500 1
Ir1 Ir 0.500 0.500 0.000 1
```

---

No. 4
CaAgB2C | SCAN | PBEsol geometry

## Properties
Theoretical density (g/cm³): 3.295
ΔE_f (eV per formula unit): 9.3

Geometry as CIF:
```
data_CaAgB2C
_chemical_formula_sum 'Ca1 Ag1 B2 C1'
_symmetry_space_group_name_H-M 'P 4/m m m'
_symmetry_Int_Tables_number 123
_symmetry_space_group_name_Hall '-P 4 2'
_cell_length_a 3.981
_cell_length_b 3.981
_cell_length_c 5.774
_cell_angle_alpha 90.00
_cell_angle_beta 90.00
_cell_angle_gamma 90.00
loop_
_atom_site_label
_atom_site_type_symbol
_atom_site_fract_x
_atom_site_fract_y
_atom_site_fract_z
_atom_site_occupancy
Ca1 Ca 0.000 0.000 0.000 1
Ag1 Ag 0.000 0.000 0.500 1
B1 B 0.000 0.500 0.500 1
C1 C 0.500 0.500 0.000 1
```

---

No. 5
SrAsPdSe2 | SCAN | PBEsol geometry

## Properties
Theoretical density (g/cm³): 4.229
E_tot (eV/atom): -22.19

Geometry as CIF:
```
data_SrAsPdSe2
_chemical_formula_sum 'Sr1 As1 Pd1 Se2'
_symmetry_space_group_name_H-M 'P 4/m m m'
_symmetry_Int_Tables_number 123
_symmetry_space_group_name_Hall '-P 4 2'
_cell_length_a 5.509
_cell_length_b 5.509
_cell_length_c 5.522
_cell_angle_alpha 90.00
_cell_angle_beta 90.00
_cell_angle_gamma 90.00
loop_
_atom_site_label
_atom_site_type_symbol
_atom_site_fract_x
_atom_site_fract_y
_atom_site_fract_z
_atom_site_occupancy
Sr1 Sr 0.000 0.000 0.000 1
As1 As 0.000 0.000 0.500 1
Pd1 Pd 0.500 0.500 0.500 1
Se1 Se 0.000 0.500 0.000 1
```

---

No. 6
Pm2AgHg | SCAN | PBEsol geometry

## Properties
Theoretical density (g/cm³): 9.839
ΔE_f (eV per formula unit): -2.1

Geometry as CIF:
```
data_Pm2AgHg
_chemical_formula_sum 'Pm8 Ag4 Hg4'
_symmetry_space_group_name_H-M 'F m -3 m'
_symmetry_Int_Tables_number 225
_symmetry_space_group_name_Hall '-F 4 2 3'
_cell_length_a 7.393
_cell_length_b 7.393
_cell_length_c 7.393
_cell_angle_alpha 90.00
_cell_angle_beta 90.00
_cell_angle_gamma 90.00
loop_
_atom_site_label
_atom_site_type_symbol
_atom_site_fract_x
_atom_site_fract_y
_atom_site_fract_z
_atom_site_occupancy
Pm1 Pm 0.250 0.250 0.250 1
Ag1 Ag 0.000 0.000 0.000 1
Hg1 Hg 0.000 0.000 0.500 1
```

---

No. 7
TcPW2 | SCAN | PBEsol geometry

## Properties
Theoretical density (g/cm³): 14.263
ΔE_f (eV per formula unit): 0.7

Geometry as CIF:
```
data_TcPW2
_chemical_formula_sum 'Tc1 P1 W2'
_symmetry_space_group_name_H-M 'P m m 2'
_symmetry_Int_Tables_number 25
_cell_length_a 2.906
_cell_length_b 3.998
_cell_length_c 4.976
_cell_angle_alpha 90.00
_cell_angle_beta 90.00
_cell_angle_gamma 90.00
loop_
_symmetry_equiv_pos_as_xyz
'x,y,z'
'-x,-y,z'
'-x,y,z'
'x,-y,z'
loop_
_atom_site_label
_atom_site_type_symbol
_atom_site_fract_x
_atom_site_fract_y
_atom_site_fract_z
_atom_site_occupancy
Tc1 Tc 0.000 0.000 0.000 1
P1 P 0.500 0.500 0.760 1
W1 W 0.000 0.000 0.519 1
W2 W 0.500 0.500 0.255 1
```

---

No. 8
Ni2Sb | SCAN | PBEsol geometry

## Properties
Theoretical density (g/cm³): 9.659
E_tot (eV/atom): -23.23

Geometry as CIF:
```
data_Ni2Sb
_chemical_formula_sum 'Ni4 Sb2'
_symmetry_space_group_name_H-M 'I 4/m m m'
_symmetry_Int_Tables_number 139
_symmetry_space_group_name_Hall '-I 4 2'
_cell_length_a 3.302
_cell_length_b 3.302
_cell_length_c 7.543
_cell_angle_alpha 90.00
_cell_angle_beta 90.00
_cell_angle_gamma 90.00
loop_
_atom_site_label
_atom_site_type_symbol
_atom_site_fract_x
_atom_site_fract_y
_atom_site_fract_z
_atom_site_occupancy
Ni1 Ni 0.000 0.000 0.170 1
Sb1 Sb 0.000 0.000 0.500 1
```

---

No. 9
YAgSb2 | SCAN | PBEsol geometry

## Properties
Theoretical density (g/cm³): 7.577
E_tot (eV/atom): -33.64

Geometry as CIF:
```
data_YAgSb2
_chemical_formula_sum 'Y3 Ag3 Sb6'
_symmetry_space_group_name_H-M 'R -3 m'
_symmetry_Int_Tables_number 166
_symmetry_space_group_name_Hall '-R 3 2"'
_cell_length_a 3.4350
_cell_length_b 3.4350
_cell_length_c 28.3294
_cell_angle_alpha 90.00
_cell_angle_beta 90.00
_cell_angle_gamma 120.00
loop_
_atom_site_label
_atom_site_type_symbol
_atom_site_fract_x
_atom_site_fract_y
_atom_site_fract_z
_atom_site_occupancy
Y1 Y 0.0000 0.0000 0.0000 1
Ag1 Ag 0.0000 0.0000 0.5000 1
Sb1 Sb 0.0000 0.0000 0.2445 1
```

---

No. 10
LaCuP2 | SCAN | PBEsol geometry

## Properties
Theoretical density (g/cm³): 5.760
ΔE_f (eV per formula unit): -3.1

Geometry as CIF:
```
data_LaCuP2
_chemical_formula_sum 'La2 Cu2 P4'
_symmetry_space_group_name_H-M 'I m m m'
_symmetry_Int_Tables_number 71
_symmetry_space_group_name_Hall '-I 2 2'
_cell_length_a 3.956
_cell_length_b 5.871
_cell_length_c 6.564
_cell_angle_alpha 90.00
_cell_angle_beta 90.00
_cell_angle_gamma 90.00
loop_
_atom_site_label
_atom_site_type_symbol
_atom_site_fract_x
_atom_site_fract_y
_atom_site_fract_z
_atom_site_occupancy
La1 La 0.000 0.000 0.000 1
Cu1 Cu 0.000 0.000 0.500 1
P1 P 0.000 0.500 0.175 1
```

---

No. 11
Zr2TlIn | SCAN | PBEsol geometry

## Properties
Theoretical density (g/cm³): 9.491
ΔE_f (eV per formula unit): -1.3

Geometry as CIF:
```
data_Zr2TlIn
_chemical_formula_sum 'Zr4 Tl2 In2'
_symmetry_space_group_name_H-M 'I -4 m 2'
_symmetry_Int_Tables_number 119
_symmetry_space_group_name_Hall 'I -4 -2'
_cell_length_a 4.224
_cell_length_b 4.224
_cell_length_c 9.837
_cell_angle_alpha 90.00
_cell_angle_beta 90.00
_cell_angle_gamma 90.00
loop_
_atom_site_label
_atom_site_type_symbol
_atom_site_fract_x
_atom_site_fract_y
_atom_site_fract_z
_atom_site_occupancy
Zr1 Zr 0.000 0.000 0.000 1
Zr2 Zr 0.000 0.500 0.250 1
Tl1 Tl 0.000 0.500 0.750 1
In1 In 0.000 0.000 0.500 1
```

---

No. 12
CaBe2Cu | SCAN | PBEsol geometry

## Properties
Theoretical density (g/cm³): 3.571
ΔE_f (eV per formula unit): 0.8

Geometry as CIF:
```
data_CaBe2Cu
_chemical_formula_sum 'Ca1 Be2 Cu1'
_symmetry_space_group_name_H-M 'P 4/m m m'
_symmetry_Int_Tables_number 123
_symmetry_space_group_name_Hall '-P 4 2'
_cell_length_a 2.933
_cell_length_b 2.933
_cell_length_c 6.576
_cell_angle_alpha 90.00
_cell_angle_beta 90.00
_cell_angle_gamma 90.00
loop_
_atom_site_label
_atom_site_type_symbol
_atom_site_fract_x
_atom_site_fract_y
_atom_site_fract_z
_atom_site_occupancy
Ca1 Ca 0.000 0.000 0.000 1
Be1 Be 0.500 0.500 0.334 1
Cu1 Cu 0.000 0.000 0.500 1
```

---

No. 13
HgIrSe2 | SCAN | PBEsol geometry

## Properties
Theoretical density (g/cm³): 10.744
E_tot (eV/atom): -45.07

Geometry as CIF:
```
data_HgIrSe2
_chemical_formula_sum 'Hg2 Ir2 Se4'
_symmetry_space_group_name_H-M 'C 1 2/m 1'
_symmetry_Int_Tables_number 12
_cell_length_a 6.404
_cell_length_b 3.691
_cell_length_c 7.514
_cell_angle_alpha 90.00
_cell_angle_beta 106.60
_cell_angle_gamma 90.00
loop_
_symmetry_equiv_pos_as_xyz
'x,y,z'
'-x,-y,-z'
'-x,y,-z'
'x,-y,z'
'x+1/2,y+1/2,z'
'-x+1/2,-y+1/2,-z'
'-x+1/2,y+1/2,-z'
'x+1/2,-y+1/2,z'
loop_
_atom_site_label
_atom_site_type_symbol
_atom_site_fract_x
_atom_site_fract_y
_atom_site_fract_z
_atom_site_occupancy
Hg1 Hg 0.000 0.000 0.000 1
Ir1 Ir 0.000 0.500 0.500 1
Se1 Se 0.227 0.000 0.678 1
```

---

No. 14
BaCuPdPb2 | SCAN | PBEsol geometry

## Properties
Theoretical density (g/cm³): 6.315
ΔE_f (eV per formula unit): 7.4

Geometry as CIF:
```
data_BaCuPdPb2
_chemical_formula_sum 'Ba1 Cu1 Pd1 Pb2'
_symmetry_space_group_name_H-M 'P 4/m m m'
_symmetry_Int_Tables_number 123
_symmetry_space_group_name_Hall '-P 4 2'
_cell_length_a 6.119
_cell_length_b 6.119
_cell_length_c 5.069
_cell_angle_alpha 90.00
_cell_angle_beta 90.00
_cell_angle_gamma 90.00
loop_
_atom_site_label
_atom_site_type_symbol
_atom_site_fract_x
_atom_site_fract_y
_atom_site_fract_z
_atom_site_occupancy
Ba1 Ba 0.000 0.000 0.000 1
Cu1 Cu 0.000 0.000 0.500 1
Pd1 Pd 0.500 0.500 0.500 1
Pb1 Pb 0.000 0.500 0.000 1
```

---

No. 15
BaMg2Tl | SCAN | PBEsol geometry

## Properties
Theoretical density (g/cm³): 4.986
ΔE_f (eV per formula unit): -1.0

Geometry as CIF:
```
data_BaMg2Tl
_chemical_formula_sum 'Ba3 Mg6 Tl3'
_symmetry_space_group_name_H-M 'R 3 m'
_symmetry_Int_Tables_number 160
_symmetry_space_group_name_Hall 'R 3 -2"'
_cell_length_a 5.0106
_cell_length_b 5.0106
_cell_length_c 17.9365
_cell_angle_alpha 90.00
_cell_angle_beta 90.00
_cell_angle_gamma 120.00
loop_
_atom_site_label
_atom_site_type_symbol
_atom_site_fract_x
_atom_site_fract_y
_atom_site_fract_z
_atom_site_occupancy
Ba1 Ba 0.0000 0.0000 0.0000 1
Mg1 Mg 0.0000 0.0000 0.2018 1
Mg2 Mg 0.0000 0.0000 0.4837 1
Tl1 Tl 0.0000 0.0000 0.7873 1
```